[1]
The following is a DFT calculation (PBE-GGA) of a relaxed structure of TaRuRh2.

Results
Its magnetic moment is 1.27 μB/f.u. The energy above the lowest structure with this stoichiometry is 0.392 eV/atom. For the total energy, the calculation gives -0.3322 Ha/atom. Its space group is F-43m. The formation energy comes out at -0.08 eV/atom.

a b c (Å): 4.4200 4.4200 4.4200
angles (deg): 60.00 60.00 60.00
Fractional coordinates of all 4 atoms:
Ta 0.0000 0.0000 0.0000
Ru 0.2500 0.2500 0.2500
Rh 0.5000 0.5000 0.5000
Rh 0.7500 0.7500 0.7500

[2]
The following is a DFT calculation (PBE-GGA) of a relaxed structure of Al2Hg2Pb.

Results
Its magnetic moment is 0.00 μB/f.u. The energy above the lowest structure with this stoichiometry is 0.047 eV/atom. For the total energy, the calculation gives -0.0797 Ha/atom. Its space group is P4/mbm. The formation energy comes out at 0.19 eV/atom.

a b c (Å): 8.5596 8.5596 3.1840
angles (deg): 90.00 90.00 90.00
Fractional coordinates of all 10 atoms:
Al 0.1254 0.3746 0.0000
Al 0.3746 0.8746 0.0000
Al 0.6254 0.1254 0.0000
Al 0.8746 0.6254 0.0000
Hg 0.1699 0.6699 0.5000
Hg 0.3301 0.1699 0.5000
Hg 0.6699 0.8301 0.5000
Hg 0.8301 0.3301 0.5000
Pb 0.0000 0.0000 0.5000
Pb 0.5000 0.5000 0.5000

[3]
The following is a DFT calculation (PBE-GGA) of a relaxed structure of BaCa2ThAu4.

Results
Its magnetic moment is 0.00 μB/f.u. For the total energy, the calculation gives -0.1475 Ha/atom. Its space group is R-3m. The formation energy comes out at -0.71 eV/atom.

a b c (Å): 9.7180 9.7180 9.7180
angles (deg): 31.21 31.21 31.21
Fractional coordinates of all 8 atoms:
Ba 0.0000 0.0000 0.0000
Ca 0.2470 0.2470 0.2470
Ca 0.7530 0.7530 0.7530
Th 0.5000 0.5000 0.5000
Au 0.1337 0.1337 0.1337
Au 0.3910 0.3910 0.3910
Au 0.6090 0.6090 0.6090
Au 0.8663 0.8663 0.8663

[4]
The following is a DFT calculation (PBE-GGA) of a relaxed structure of MnHgTeC2.

Results
Its magnetic moment is 0.35 μB/f.u. The value obtained for the uncorrected formation energy is 2.92 eV/atom. For the total energy, the calculation gives -0.1209 Ha/atom. Its space group is P4/mmm.

a b c (Å): 4.1257 4.1257 5.9619
angles (deg): 90.00 90.00 90.00
Fractional coordinates of all 5 atoms:
Mn 0.0000 0.0000 0.0000
Hg 0.5000 0.5000 0.0000
Te 0.5000 0.5000 0.5000
C 0.0000 0.5000 0.5000
C 0.5000 0.0000 0.5000

[5]
The following is a DFT calculation (PBE-GGA) of a relaxed structure of CsSn2Te2.

Results
Its magnetic moment is 0.00 μB/f.u. The energy above the lowest structure with this stoichiometry is 0.151 eV/atom. The value obtained for the uncorrected formation energy is -0.30 eV/atom. For the total energy, the calculation gives -0.1223 Ha/atom. Its space group is P4/mbm.

a b c (Å): 9.4210 9.4210 4.1505
angles (deg): 90.00 90.00 90.00
Fractional coordinates of all 10 atoms:
Cs 0.0000 0.0000 0.0000
Cs 0.5000 0.5000 0.0000
Sn 0.1096 0.3904 0.0000
Sn 0.3904 0.8904 0.0000
Sn 0.6096 0.1096 0.0000
Sn 0.8904 0.6096 0.0000
Te 0.1592 0.6592 0.5000
Te 0.3408 0.1592 0.5000
Te 0.6592 0.8408 0.5000
Te 0.8408 0.3408 0.5000

[6]
The following is a DFT calculation (PBE-GGA) of a relaxed structure of Zr3CuF6.

Results
Its magnetic moment is 0.51 μB/f.u. The value obtained for the uncorrected formation energy is -2.26 eV/atom. For the total energy, the calculation gives -0.2335 Ha/atom. Its space group is P-1.

a b c (Å): 5.2103 5.4143 6.4872
angles (deg): 90.33 90.39 110.90
Fractional coordinates of all 10 atoms:
Zr 0.0000 0.0000 0.0000
Zr 0.0000 0.5000 0.5000
Zr 0.5000 0.0000 0.5000
Cu 0.5000 0.5000 0.5000
F 0.1382 0.8311 0.2720
F 0.1427 0.8381 0.7263
F 0.3913 0.2328 0.0066
F 0.6087 0.7672 0.9934
F 0.8573 0.1619 0.2737
F 0.8618 0.1689 0.7280

[7]
The following is a DFT calculation (PBE-GGA) of a relaxed structure of TmCuSi2Ni.

Results
Its magnetic moment is 0.00 μB/f.u. The value obtained for the uncorrected formation energy is -0.70 eV/atom. For the total energy, the calculation gives -0.2110 Ha/atom. Its space group is I-4m2.

a b c (Å): 5.6216 5.6216 5.6216
angles (deg): 139.11 139.11 59.20
Fractional coordinates of all 5 atoms:
Tm 0.0000 0.0000 0.0000
Cu 0.2500 0.7500 0.5000
Si 0.3801 0.3801 0.0000
Si 0.6199 0.6199 0.0000
Ni 0.7500 0.2500 0.5000

[8]
The following is a DFT calculation (PBE-GGA) of a relaxed structure of CaNpHgO6.

Results
Its magnetic moment is 0.00 μB/f.u. The value obtained for the uncorrected formation energy is -1.90 eV/atom. For the total energy, the calculation gives -0.2535 Ha/atom. Its space group is P1.

a b c (Å): 4.8873 5.6821 5.7445
angles (deg): 113.26 94.26 98.01
Fractional coordinates of all 9 atoms:
Ca 0.0000 0.0000 0.0000
Np 0.0088 0.6494 0.3524
Hg 0.5168 0.3079 0.6690
O 0.2120 0.3789 0.3734
O 0.2244 0.7125 0.1095
O 0.2586 0.9754 0.6686
O 0.7619 0.3374 0.0418
O 0.7922 0.6157 0.6361
O 0.7985 0.8955 0.3158

[9]
The following is a DFT calculation (PBE-GGA) of a relaxed structure of AsP2O2.

Results
Its magnetic moment is 0.00 μB/f.u. The energy above the lowest structure with this stoichiometry is 1.231 eV/atom. The value obtained for the uncorrected formation energy is 0.93 eV/atom. For the total energy, the calculation gives -0.1526 Ha/atom. Its space group is P4/mmm.

a b c (Å): 4.7513 4.7513 3.5859
angles (deg): 90.00 90.00 90.00
Fractional coordinates of all 5 atoms:
As 0.0000 0.0000 0.0000
P 0.0000 0.5000 0.0000
P 0.5000 0.0000 0.0000
O 0.0000 0.0000 0.5000
O 0.5000 0.5000 0.5000

[10]
The following is a DFT calculation (PBE-GGA) of a relaxed structure of NpZn2Cl8.

Results
Its magnetic moment is 3.00 μB/f.u. The energy above the lowest structure with this stoichiometry is 0.000 eV/atom. The value obtained for the uncorrected formation energy is -1.29 eV/atom. For the total energy, the calculation gives -0.1484 Ha/atom. Its space group is C2/c.

a b c (Å): 9.9638 9.9638 12.4808
angles (deg): 126.50 126.50 49.69
Fractional coordinates of all 22 atoms:
Np 0.0016 0.9984 0.7500
Np 0.9984 0.0016 0.2500
Zn 0.1772 0.6401 0.9655
Zn 0.3599 0.8228 0.5345
Zn 0.6401 0.1772 0.4655
Zn 0.8228 0.3599 0.0345
Cl 0.1275 0.1831 0.0206
Cl 0.1426 0.6895 0.7853
Cl 0.1531 0.7104 0.3139
Cl 0.1831 0.1275 0.5206
Cl 0.2896 0.8469 0.1861
Cl 0.3105 0.8574 0.7147
Cl 0.3306 0.3469 0.9375
Cl 0.3469 0.3306 0.4375
Cl 0.6531 0.6694 0.5625
Cl 0.6694 0.6531 0.0625
Cl 0.6895 0.1426 0.2853
Cl 0.7104 0.1531 0.8139
Cl 0.8169 0.8725 0.4794
Cl 0.8469 0.2896 0.6861
Cl 0.8574 0.3105 0.2147
Cl 0.8725 0.8169 0.9794

[11]
The following is a DFT calculation (PBE-GGA) of a relaxed structure of Fe2SbRh.

Results
Its magnetic moment is 5.52 μB/f.u. The value obtained for the uncorrected formation energy is 0.05 eV/atom. For the total energy, the calculation gives -0.2591 Ha/atom. Its space group is Pmm2.

a b c (Å): 3.1405 3.1733 5.9652
angles (deg): 90.00 90.00 90.00
Fractional coordinates of all 4 atoms:
Fe 0.0000 0.0000 0.0000
Fe 0.5000 0.5000 0.2089
Sb 0.5000 0.5000 0.7398
Rh 0.0000 0.0000 0.4701

[12]
The following is a DFT calculation (PBE-GGA) of a relaxed structure of BaNaNb.

Results
Its magnetic moment is 0.00 μB/f.u. The energy above the lowest structure with this stoichiometry is 0.000 eV/atom. For the total energy, the calculation gives -0.1507 Ha/atom. Its space group is P4/nmm. The formation energy comes out at 0.34 eV/atom.

a b c (Å): 3.6834 3.6834 15.6439
angles (deg): 90.00 90.00 90.00
Fractional coordinates of all 6 atoms:
Ba 0.2500 0.2500 0.1958
Ba 0.7500 0.7500 0.8042
Na 0.2500 0.2500 0.5894
Na 0.7500 0.7500 0.4106
Nb 0.2500 0.2500 0.9688
Nb 0.7500 0.7500 0.0312

[13]
The following is a DFT calculation (PBE-GGA) of a relaxed structure of RbHfZrH2.

Results
Its magnetic moment is 0.00 μB/f.u. For the total energy, the calculation gives -0.1570 Ha/atom. Its space group is P4/mmm.

a b c (Å): 4.5118 4.5118 5.3585
angles (deg): 90.00 90.00 90.00
Fractional coordinates of all 5 atoms:
Rb 0.0000 0.0000 0.0000
Hf 0.5000 0.5000 0.0000
Zr 0.5000 0.5000 0.5000
H 0.0000 0.5000 0.5000
H 0.5000 0.0000 0.5000

[14]
The following is a DFT calculation (PBE-GGA) of a relaxed structure of MgPaCl6.

Results
Its magnetic moment is 1.01 μB/f.u. The value obtained for the uncorrected formation energy is -1.84 eV/atom. For the total energy, the calculation gives -0.1694 Ha/atom. Its space group is C2/m.

a b c (Å): 7.1200 7.1200 6.4797
angles (deg): 97.74 97.74 125.84
Fractional coordinates of all 8 atoms:
Mg 0.0000 0.0000 0.0000
Pa 0.5000 0.5000 0.5000
Cl 0.0983 0.3737 0.2372
Cl 0.2482 0.2482 0.7534
Cl 0.3737 0.0983 0.2372
Cl 0.6263 0.9017 0.7628
Cl 0.7518 0.7518 0.2466
Cl 0.9017 0.6263 0.7628

[15]
The following is a DFT calculation (PBE-GGA) of a relaxed structure of TaNiRh2.

Results
Its magnetic moment is 0.48 μB/f.u. For the total energy, the calculation gives -0.3044 Ha/atom. Its space group is P4/mmm. The formation energy comes out at -0.20 eV/atom.

a b c (Å): 2.7995 2.7995 7.3696
angles (deg): 90.00 90.00 90.00
Fractional coordinates of all 4 atoms:
Ta 0.0000 0.0000 0.0000
Ni 0.0000 0.0000 0.5000
Rh 0.5000 0.5000 0.2640
Rh 0.5000 0.5000 0.7360

[16]
The following is a DFT calculation (PBE-GGA) of a relaxed structure of Cs4KTl.

Results
Its magnetic moment is 0.00 μB/f.u. For the total energy, the calculation gives -0.0428 Ha/atom. Its space group is C2/m. The formation energy comes out at -0.02 eV/atom.

a b c (Å): 13.0464 13.0464 8.6360
angles (deg): 106.91 106.91 47.68
Fractional coordinates of all 12 atoms:
Cs 0.1235 0.6348 0.3792
Cs 0.2378 0.7622 0.0000
Cs 0.3275 0.3275 0.8169
Cs 0.3652 0.8765 0.6208
Cs 0.6348 0.1235 0.3792
Cs 0.6725 0.6725 0.1831
Cs 0.7622 0.2378 0.0000
Cs 0.8765 0.3652 0.6208
K 0.1947 0.1947 0.1867
K 0.8053 0.8053 0.8133
Tl 0.4877 0.4877 0.6596
Tl 0.5123 0.5123 0.3404

[17]
The following is a DFT calculation (PBE-GGA) of a relaxed structure of K2AcMgPb2.

Results
Its magnetic moment is 0.00 μB/f.u. For the total energy, the calculation gives -0.1038 Ha/atom. Its space group is Pmc2_1. The formation energy comes out at -0.27 eV/atom.

a b c (Å): 5.2490 10.1283 8.4322
angles (deg): 90.00 90.00 90.00
Fractional coordinates of all 12 atoms:
K 0.0000 0.0846 0.0000
K 0.0000 0.9154 0.5000
K 0.5000 0.1512 0.3176
K 0.5000 0.8488 0.8176
Ac 0.5000 0.4660 0.9889
Ac 0.5000 0.5340 0.4889
Mg 0.0000 0.3193 0.6399
Mg 0.0000 0.6807 0.1399
Pb 0.0000 0.3928 0.2695
Pb 0.0000 0.6072 0.7695
Pb 0.5000 0.2002 0.7292
Pb 0.5000 0.7998 0.2292

[18]
The following is a DFT calculation (PBE-GGA) of a relaxed structure of SbN2F4.

Results
Its magnetic moment is 0.00 μB/f.u. The value obtained for the uncorrected formation energy is -1.47 eV/atom. For the total energy, the calculation gives -0.2023 Ha/atom. Its space group is Cm.

a b c (Å): 5.6860 5.6860 8.6385
angles (deg): 123.43 123.43 36.19
Fractional coordinates of all 7 atoms:
Sb 0.0000 0.0000 0.0000
N 0.0104 0.0104 0.4262
N 0.0449 0.0449 0.5752
F 0.2032 0.2032 0.2357
F 0.4174 0.4174 0.0575
F 0.5791 0.5791 0.9382
F 0.8399 0.8399 0.7290

[19]
The following is a DFT calculation (PBE-GGA) of a relaxed structure of Ca2HfRe.

Results
Its magnetic moment is 0.00 μB/f.u. The energy above the lowest structure with this stoichiometry is 0.000 eV/atom. For the total energy, the calculation gives -0.2079 Ha/atom. Its space group is I-42d. The formation energy comes out at 0.94 eV/atom.

a b c (Å): 7.8381 7.8381 7.8381
angles (deg): 95.72 95.72 143.18
Fractional coordinates of all 8 atoms:
Ca 0.3750 0.2354 0.3604
Ca 0.7646 0.1250 0.1396
Ca 0.8750 0.0146 0.6396
Ca 0.9854 0.6250 0.8604
Hf 0.2500 0.7500 0.5000
Hf 0.5000 0.5000 0.0000
Re 0.0000 0.0000 0.0000
Re 0.7500 0.2500 0.5000

[20]
The following is a DFT calculation (PBE-GGA) of a relaxed structure of Zr4Ga16Pd3.

Results
Its magnetic moment is 0.00 μB/f.u. For the total energy, the calculation gives -0.1722 Ha/atom. Its space group is P4/mmm. The formation energy comes out at -0.42 eV/atom.

a b c (Å): 6.0876 6.0876 10.9191
angles (deg): 90.00 90.00 90.00
Fractional coordinates of all 23 atoms:
Zr 0.0000 0.5000 0.1892
Zr 0.0000 0.5000 0.8108
Zr 0.5000 0.0000 0.1892
Zr 0.5000 0.0000 0.8108
Ga 0.0000 0.0000 0.1999
Ga 0.0000 0.0000 0.8001
Ga 0.2131 0.2131 0.0000
Ga 0.2131 0.7869 0.0000
Ga 0.2447 0.2447 0.3714
Ga 0.2447 0.2447 0.6286
Ga 0.2447 0.7553 0.3714
Ga 0.2447 0.7553 0.6286
Ga 0.5000 0.5000 0.2280
Ga 0.5000 0.5000 0.7720
Ga 0.7553 0.2447 0.3714
Ga 0.7553 0.2447 0.6286
Ga 0.7553 0.7553 0.3714
Ga 0.7553 0.7553 0.6286
Ga 0.7869 0.2131 0.0000
Ga 0.7869 0.7869 0.0000
Pd 0.0000 0.5000 0.5000
Pd 0.5000 0.0000 0.5000
Pd 0.5000 0.5000 0.0000